Model A:
Computed, not measured: Li2Mn3B3O9 after structural relaxation at the PBE+U level of DFT.

a = 6.3078 Å, b = 8.2768 Å, c = 8.7103 Å
α = 117.14°, β = 110.08°, γ = 91.45°
Space group P1 (No. 1)
Symmetry-distinct sites (fractional):
Li  0.0000  0.0000  0.0000
Li  0.1268  0.5773  0.2609
Li  0.3033  0.2678  0.6727
Li  0.8258  0.2536  0.6677
Mn  0.0183  0.8825  0.6012
Mn  0.2206  0.6567  0.9764
Mn  0.4071  0.2910  0.3478
Mn  0.5607  0.9403  0.6822
Mn  0.7150  0.6286  0.9856
Mn  0.8759  0.2832  0.3088
B  0.1200  0.9508  0.3138
B  0.2055  0.2778  0.9647
B  0.2889  0.6119  0.6386
B  0.6324  0.9460  0.3299
B  0.7229  0.2797  0.9678
B  0.8271  0.6081  0.6552
O  0.0428  0.8373  0.1188
O  0.1142  0.1779  0.7682
O  0.1534  0.8626  0.4212
O  0.1605  0.1403  0.3916
O  0.2063  0.4951  0.4481
O  0.2462  0.4719  0.0594
O  0.2484  0.1884  0.0674
O  0.2967  0.8036  0.7114
O  0.3659  0.5477  0.7665
O  0.5299  0.8096  0.1407
O  0.6097  0.2269  0.7771
O  0.6692  0.1310  0.3822
O  0.7031  0.8955  0.4695
O  0.7199  0.4920  0.4677
O  0.7547  0.1372  0.0114
O  0.8019  0.4627  0.1050
O  0.8678  0.8030  0.7332
O  0.9038  0.5369  0.7795

Computed properties:
**Calculated volume**: 10.91 A^3/atom
**M_tot**: 14.0 μB per formula unit
**DOS at the Fermi energy**: 0.38 states/eV/f.u.

Model B:
Computed, not measured: Li2Mn3B3O9 after structural relaxation at the PBE+U level of DFT.

a = 6.2636 Å, b = 7.7518 Å, c = 9.0535 Å
α = 109.39°, β = 107.12°, γ = 99.85°
Space group P-1 (No. 2)
Symmetry-distinct sites (fractional):
Li  0.9997  0.1616  0.2179
Li  0.3160  0.5072  0.8874
Mn  0.0322  0.7911  0.4362
Mn  0.3104  0.5603  0.2402
Mn  0.3947  0.1324  0.1264
B  0.0269  0.7936  0.1025
B  0.2590  0.5320  0.5501
B  0.3536  0.1354  0.7888
O  0.0020  0.3259  0.8095
O  0.1068  0.2801  0.0699
O  0.1126  0.3492  0.4481
O  0.1753  0.9736  0.1915
O  0.2042  0.0787  0.6195
O  0.2821  0.6696  0.4800
O  0.3296  0.0040  0.8599
O  0.3993  0.5805  0.7165
O  0.4910  0.6835  0.1206

Computed properties:
**Calculated volume**: 11.13 A^3/atom
**M_tot**: 14.0 μB per formula unit
**DOS at the Fermi energy**: 0.26 states/eV/f.u.

Short version: model B, model A, most stable first.